The following is a PBE-GGA calculation of crystalline CsBiH6Ir at its relaxed geometry, from Alexandria.

Structure (extended XYZ):
```
9
Lattice="-3.9076 1.9064 -3.0758 -4.6881 1.3254 2.1566 2.1079 5.8828 0.9684" Properties=species:S:1:pos:R:3 pbc="T T T"
Ir -1.8106 4.0183 0.1783
H -2.1771 3.2665 -1.2668
H -1.0856 2.5693 0.5820
H -2.2747 5.4308 -0.5814
Bi -4.6763 5.0957 -0.1284
Cs -8.5952 3.2317 -0.9189
H -1.8587 4.9264 1.5782
H -0.2581 4.6112 0.0175
H -3.2142 3.3073 0.7370
```

Output
The value obtained for the density of states at the Fermi level is 3.392 states/eV per cell. As for the space-group type: No. 149. For the energy, the calculation gives -34.28 eV per cell. The calculation puts the density at 5.8 g/cm3.